First-principles (PBE-GGA) data for an optimized crystal structure of YRe2Au, as listed in the Alexandria database.

Summary:
Energy relative to the elements (eV/f.u.): 2.30
Offset from the most stable computed form (meV/atom): 509.1
Theoretical density (g cm⁻³): 14.1

Cell and atoms, written as CIF:
```
data_YRe2Au
_chemical_formula_sum 'Y1 Re2 Au1'
_cell_length_a 3.492
_cell_length_b 3.492
_cell_length_c 6.362
_cell_angle_alpha 90.00
_cell_angle_beta 90.00
_cell_angle_gamma 90.00
_space_group_name_H-M_alt 'P 4/m m m'
_space_group_IT_number 123
_space_group_name_Hall '-P 4 2'
loop_
_atom_site_label
_atom_site_fract_x
_atom_site_fract_y
_atom_site_fract_z
Y1 0.000 0.000 0.000
Re1 0.500 0.500 0.308
Au1 0.000 0.000 0.500
```

***

First-principles (PBE-GGA) data for an optimized crystal structure of YRe2Au, as listed in the Alexandria database.

Summary:
Energy relative to the elements (eV/f.u.): 1.53
Offset from the most stable computed form (meV/atom): 318.0
Theoretical density (g cm⁻³): 15.1

Cell and atoms, written as CIF:
```
data_YRe2Au
_chemical_formula_sum 'Y2 Re4 Au2'
_cell_length_a 10.426
_cell_length_b 2.918
_cell_length_c 4.886
_cell_angle_alpha 90.00
_cell_angle_beta 102.79
_cell_angle_gamma 90.00
_space_group_name_H-M_alt 'C 1 2/m 1'
_space_group_IT_number 12
loop_
_space_group_symop_operation_xyz
'x,y,z'
'-x,-y,-z'
'-x,y,-z'
'x,-y,z'
'x+1/2,y+1/2,z'
'-x+1/2,-y+1/2,-z'
'-x+1/2,y+1/2,-z'
'x+1/2,-y+1/2,z'
loop_
_atom_site_label
_atom_site_fract_x
_atom_site_fract_y
_atom_site_fract_z
Y1 0.000 0.000 0.000
Re1 0.234 0.000 0.745
Au1 0.000 0.500 0.500
```

***

First-principles (PBE-GGA) data for an optimized crystal structure of YRe2Au, as listed in the Alexandria database.

Summary:
Energy relative to the elements (eV/f.u.): 1.21
Offset from the most stable computed form (meV/atom): 238.5
Theoretical density (g cm⁻³): 15.2

Cell and atoms, written as CIF:
```
data_YRe2Au
_chemical_formula_sum 'Y2 Re4 Au2'
_cell_length_a 4.382
_cell_length_b 4.382
_cell_length_c 7.471
_cell_angle_alpha 90.00
_cell_angle_beta 90.00
_cell_angle_gamma 90.00
_space_group_name_H-M_alt 'I -4 m 2'
_space_group_IT_number 119
_space_group_name_Hall 'I -4 -2'
loop_
_atom_site_label
_atom_site_fract_x
_atom_site_fract_y
_atom_site_fract_z
Y1 0.000 0.000 0.000
Re1 0.000 0.000 0.500
Re2 0.000 0.500 0.250
Au1 0.000 0.500 0.750
```

***

First-principles (PBE-GGA) data for an optimized crystal structure of YRe2Au, as listed in the Alexandria database.

Summary:
Energy relative to the elements (eV/f.u.): 1.81
Offset from the most stable computed form (meV/atom): 386.5
Theoretical density (g cm⁻³): 14.8

Cell and atoms, written as CIF:
```
data_YRe2Au
_chemical_formula_sum 'Y2 Re4 Au2'
_cell_length_a 3.968
_cell_length_b 3.968
_cell_length_c 9.351
_cell_angle_alpha 90.00
_cell_angle_beta 90.00
_cell_angle_gamma 90.00
_space_group_name_H-M_alt 'I 4/m m m'
_space_group_IT_number 139
_space_group_name_Hall '-I 4 2'
loop_
_atom_site_label
_atom_site_fract_x
_atom_site_fract_y
_atom_site_fract_z
Y1 0.000 0.000 0.000
Re1 0.000 0.500 0.250
Au1 0.000 0.000 0.500
```

***

First-principles (PBE-GGA) data for an optimized crystal structure of YRe2Au, as listed in the Alexandria database.

Summary:
Energy relative to the elements (eV/f.u.): 2.25
Offset from the most stable computed form (meV/atom): 496.2
Theoretical density (g cm⁻³): 15.3

Cell and atoms, written as CIF:
```
data_YRe2Au
_chemical_formula_sum 'Y2 Re4 Au2'
_cell_length_a 5.788
_cell_length_b 9.024
_cell_length_c 2.737
_cell_angle_alpha 90.00
_cell_angle_beta 90.00
_cell_angle_gamma 90.00
_space_group_name_H-M_alt 'C m m m'
_space_group_IT_number 65
_space_group_name_Hall '-C 2 2'
loop_
_atom_site_label
_atom_site_fract_x
_atom_site_fract_y
_atom_site_fract_z
Y1 0.000 0.000 0.000
Re1 0.250 0.250 0.500
Au1 0.000 0.500 0.000
```

***

First-principles (PBE-GGA) data for an optimized crystal structure of YRe2Au, as listed in the Alexandria database.

Summary:
Energy relative to the elements (eV/f.u.): 1.61
Offset from the most stable computed form (meV/atom): 337.4
Theoretical density (g cm⁻³): 14.9

Cell and atoms, written as CIF:
```
data_YRe2Au
_chemical_formula_sum 'Y2 Re4 Au2'
_cell_length_a 3.271
_cell_length_b 4.536
_cell_length_c 9.912
_cell_angle_alpha 90.00
_cell_angle_beta 90.00
_cell_angle_gamma 90.00
_space_group_name_H-M_alt 'I m m m'
_space_group_IT_number 71
_space_group_name_Hall '-I 2 2'
loop_
_atom_site_label
_atom_site_fract_x
_atom_site_fract_y
_atom_site_fract_z
Y1 0.000 0.000 0.000
Re1 0.000 0.500 0.242
Au1 0.000 0.000 0.500
```

***

First-principles (PBE-GGA) data for an optimized crystal structure of YRe2Au, as listed in the Alexandria database.

Summary:
Energy relative to the elements (eV/f.u.): 2.17
Offset from the most stable computed form (meV/atom): 477.3
Theoretical density (g cm⁻³): 14.7

Cell and atoms, written as CIF:
```
data_YRe2Au
_chemical_formula_sum 'Y1 Re2 Au1'
_cell_length_a 2.705
_cell_length_b 4.485
_cell_length_c 6.120
_cell_angle_alpha 90.00
_cell_angle_beta 90.00
_cell_angle_gamma 90.00
_space_group_name_H-M_alt 'P m m m'
_space_group_IT_number 47
loop_
_space_group_symop_operation_xyz
'x,y,z'
'-x,-y,-z'
'-x,-y,z'
'x,y,-z'
'x,-y,-z'
'-x,y,z'
'-x,y,-z'
'x,-y,z'
loop_
_atom_site_label
_atom_site_fract_x
_atom_site_fract_y
_atom_site_fract_z
Y1 0.000 0.000 0.000
Re1 0.500 0.500 0.292
Au1 0.000 0.000 0.500
```

***

First-principles (PBE-GGA) data for an optimized crystal structure of Y2Re2Au, as listed in the Alexandria database.

Summary:
Energy relative to the elements (eV/f.u.): 0.00
Offset from the most stable computed form (meV/atom): 0.0
Theoretical density (g cm⁻³): 11.5

Cell and atoms, written as CIF:
```
data_Y2Re2Au
_chemical_formula_sum 'Y4 Re4 Au2'
_cell_length_a 6.982
_cell_length_b 6.982
_cell_length_c 4.422
_cell_angle_alpha 90.00
_cell_angle_beta 90.00
_cell_angle_gamma 90.00
_space_group_name_H-M_alt 'P 4/m b m'
_space_group_IT_number 127
_space_group_name_Hall '-P 4 2ab'
loop_
_atom_site_label
_atom_site_fract_x
_atom_site_fract_y
_atom_site_fract_z
Y1 0.178 0.322 0.000
Re1 0.118 0.618 0.500
Au1 0.000 0.000 0.500
```

***

First-principles (PBE-GGA) data for an optimized crystal structure of YRe2Au, as listed in the Alexandria database.

Summary:
Energy relative to the elements (eV/f.u.): 3.46
Offset from the most stable computed form (meV/atom): 799.3
Theoretical density (g cm⁻³): 15.1

Cell and atoms, written as CIF:
```
data_YRe2Au
_chemical_formula_sum 'Y4 Re8 Au4'
_cell_length_a 6.610
_cell_length_b 6.610
_cell_length_c 6.610
_cell_angle_alpha 90.00
_cell_angle_beta 90.00
_cell_angle_gamma 90.00
_space_group_name_H-M_alt 'F m -3 m'
_space_group_IT_number 225
_space_group_name_Hall '-F 4 2 3'
loop_
_atom_site_label
_atom_site_fract_x
_atom_site_fract_y
_atom_site_fract_z
Y1 0.000 0.000 0.000
Re1 0.250 0.250 0.250
Au1 0.000 0.000 0.500
```

***

First-principles (PBE-GGA) data for an optimized crystal structure of YRe2Au, as listed in the Alexandria database.

Summary:
Energy relative to the elements (eV/f.u.): 2.16
Offset from the most stable computed form (meV/atom): 475.2
Theoretical density (g cm⁻³): 13.4

Cell and atoms, written as CIF:
```
data_YRe2Au
_chemical_formula_sum 'Y4 Re8 Au4'
_cell_length_a 3.985
_cell_length_b 3.985
_cell_length_c 20.589
_cell_angle_alpha 90.00
_cell_angle_beta 90.00
_cell_angle_gamma 90.00
_space_group_name_H-M_alt 'I -4 2 d'
_space_group_IT_number 122
_space_group_name_Hall 'I -4 2bw'
loop_
_atom_site_label
_atom_site_fract_x
_atom_site_fract_y
_atom_site_fract_z
Y1 0.000 0.000 0.000
Re1 0.183 0.250 0.625
Au1 0.000 0.000 0.500
```

***

First-principles (PBE-GGA) data for an optimized crystal structure of YRe2Au, as listed in the Alexandria database.

Summary:
Energy relative to the elements (eV/f.u.): 1.36
Offset from the most stable computed form (meV/atom): 275.9
Theoretical density (g cm⁻³): 15.1

Cell and atoms, written as CIF:
```
data_YRe2Au
_chemical_formula_sum 'Y3 Re6 Au3'
_cell_length_a 2.9354
_cell_length_b 2.9354
_cell_length_c 29.1865
_cell_angle_alpha 90.00
_cell_angle_beta 90.00
_cell_angle_gamma 120.00
_space_group_name_H-M_alt 'R 3 m'
_space_group_IT_number 160
_space_group_name_Hall 'R 3 -2"'
loop_
_atom_site_label
_atom_site_fract_x
_atom_site_fract_y
_atom_site_fract_z
Y1 0.0000 0.0000 0.0000
Re1 0.0000 0.0000 0.2429
Re2 0.0000 0.0000 0.5068
Au1 0.0000 0.0000 0.7565
```

***

First-principles (PBE-GGA) data for an optimized crystal structure of Zn2ReAu, as listed in the Alexandria database.

Summary:
Energy relative to the elements (eV/f.u.): 0.97
Offset from the most stable computed form (meV/atom): 154.9
Theoretical density (g cm⁻³): 13.7

Cell and atoms, written as CIF:
```
data_Zn2ReAu
_chemical_formula_sum 'Zn4 Re2 Au2'
_cell_length_a 3.147
_cell_length_b 4.408
_cell_length_c 8.951
_cell_angle_alpha 90.00
_cell_angle_beta 90.00
_cell_angle_gamma 90.00
_space_group_name_H-M_alt 'C m m 2'
_space_group_IT_number 35
loop_
_space_group_symop_operation_xyz
'x,y,z'
'-x,-y,z'
'-x,y,z'
'x,-y,z'
'x+1/2,y+1/2,z'
'-x+1/2,-y+1/2,z'
'-x+1/2,y+1/2,z'
'x+1/2,-y+1/2,z'
loop_
_atom_site_label
_atom_site_fract_x
_atom_site_fract_y
_atom_site_fract_z
Zn1 0.000 0.000 0.000
Zn2 0.000 0.500 0.239
Re1 0.000 0.000 0.478
Au1 0.000 0.500 0.750
```

***

First-principles (PBE-GGA) data for an optimized crystal structure of Zn2ReAu, as listed in the Alexandria database.

Summary:
Energy relative to the elements (eV/f.u.): 0.40
Offset from the most stable computed form (meV/atom): 12.2
Theoretical density (g cm⁻³): 13.9

Cell and atoms, written as CIF:
```
data_Zn2ReAu
_chemical_formula_sum 'Zn4 Re2 Au2'
_cell_length_a 3.296
_cell_length_b 4.329
_cell_length_c 8.601
_cell_angle_alpha 90.00
_cell_angle_beta 90.00
_cell_angle_gamma 90.00
_space_group_name_H-M_alt 'C m m m'
_space_group_IT_number 65
_space_group_name_Hall '-C 2 2'
loop_
_atom_site_label
_atom_site_fract_x
_atom_site_fract_y
_atom_site_fract_z
Zn1 0.000 0.000 0.244
Re1 0.000 0.500 0.000
Au1 0.000 0.500 0.500
```

***

First-principles (PBE-GGA) data for an optimized crystal structure of Zn2ReAu, as listed in the Alexandria database.

Summary:
Energy relative to the elements (eV/f.u.): 1.11
Offset from the most stable computed form (meV/atom): 191.4
Theoretical density (g cm⁻³): 13.6

Cell and atoms, written as CIF:
```
data_Zn2ReAu
_chemical_formula_sum 'Zn4 Re2 Au2'
_cell_length_a 2.808
_cell_length_b 4.911
_cell_length_c 9.075
_cell_angle_alpha 90.00
_cell_angle_beta 90.00
_cell_angle_gamma 90.00
_space_group_name_H-M_alt 'I m m m'
_space_group_IT_number 71
_space_group_name_Hall '-I 2 2'
loop_
_atom_site_label
_atom_site_fract_x
_atom_site_fract_y
_atom_site_fract_z
Zn1 0.000 0.000 0.250
Re1 0.000 0.500 0.000
Au1 0.000 0.500 0.500
```

***

First-principles (PBE-GGA) data for an optimized crystal structure of Zn2ReAu, as listed in the Alexandria database.

Summary:
Energy relative to the elements (eV/f.u.): 1.01
Offset from the most stable computed form (meV/atom): 165.7
Theoretical density (g cm⁻³): 13.8

Cell and atoms, written as CIF:
```
data_Zn2ReAu
_chemical_formula_sum 'Zn2 Re1 Au1'
_cell_length_a 2.720
_cell_length_b 2.720
_cell_length_c 8.352
_cell_angle_alpha 90.00
_cell_angle_beta 90.00
_cell_angle_gamma 90.00
_space_group_name_H-M_alt 'P 4 m m'
_space_group_IT_number 99
loop_
_space_group_symop_operation_xyz
'x,y,z'
'-y,x,z'
'-x,-y,z'
'y,-x,z'
'-x,y,z'
'y,x,z'
'x,-y,z'
'-y,-x,z'
loop_
_atom_site_label
_atom_site_fract_x
_atom_site_fract_y
_atom_site_fract_z
Zn1 0.000 0.000 0.000
Zn2 0.500 0.500 0.240
Re1 0.500 0.500 0.760
Au1 0.000 0.000 0.495
```

***

First-principles (PBE-GGA) data for an optimized crystal structure of ZnReAu2, as listed in the Alexandria database.

Summary:
Energy relative to the elements (eV/f.u.): 1.51
Theoretical density (g cm⁻³): 16.5

Cell and atoms, written as CIF:
```
data_ZnReAu2
_chemical_formula_sum 'Zn1 Re1 Au2'
_cell_length_a 2.747
_cell_length_b 4.137
_cell_length_c 5.729
_cell_angle_alpha 90.00
_cell_angle_beta 90.00
_cell_angle_gamma 90.00
_space_group_name_H-M_alt 'P m m m'
_space_group_IT_number 47
loop_
_space_group_symop_operation_xyz
'x,y,z'
'-x,-y,-z'
'-x,-y,z'
'x,y,-z'
'x,-y,-z'
'-x,y,z'
'-x,y,-z'
'x,-y,z'
loop_
_atom_site_label
_atom_site_fract_x
_atom_site_fract_y
_atom_site_fract_z
Zn1 0.000 0.000 0.000
Re1 0.000 0.000 0.500
Au1 0.500 0.500 0.251
```

***

First-principles (PBE-GGA) data for an optimized crystal structure of ZnReAu2, as listed in the Alexandria database.

Summary:
Energy relative to the elements (eV/f.u.): 2.21
Theoretical density (g cm⁻³): 16.2

Cell and atoms, written as CIF:
```
data_ZnReAu2
_chemical_formula_sum 'Zn4 Re4 Au8'
_cell_length_a 6.421
_cell_length_b 6.421
_cell_length_c 6.421
_cell_angle_alpha 90.00
_cell_angle_beta 90.00
_cell_angle_gamma 90.00
_space_group_name_H-M_alt 'F -4 3 m'
_space_group_IT_number 216
_space_group_name_Hall 'F -4 2 3'
loop_
_atom_site_label
_atom_site_fract_x
_atom_site_fract_y
_atom_site_fract_z
Zn1 0.000 0.000 0.000
Re1 0.250 0.250 0.250
Au1 0.000 0.000 0.500
Au2 0.250 0.250 0.750
```

***

First-principles (PBE-GGA) data for an optimized crystal structure of ZnReAu2, as listed in the Alexandria database.

Summary:
Energy relative to the elements (eV/f.u.): 1.31
Theoretical density (g cm⁻³): 16.4

Cell and atoms, written as CIF:
```
data_ZnReAu2
_chemical_formula_sum 'Zn1 Re1 Au2'
_cell_length_a 5.061
_cell_length_b 2.710
_cell_length_c 5.087
_cell_angle_alpha 90.00
_cell_angle_beta 110.84
_cell_angle_gamma 90.00
_space_group_name_H-M_alt 'P 1 2/m 1'
_space_group_IT_number 10
loop_
_space_group_symop_operation_xyz
'x,y,z'
'-x,-y,-z'
'-x,y,-z'
'x,-y,z'
loop_
_atom_site_label
_atom_site_fract_x
_atom_site_fract_y
_atom_site_fract_z
Zn1 0.000 0.000 0.000
Re1 0.500 0.500 0.000
Au1 0.000 0.500 0.500
Au2 0.500 0.000 0.500
```

***

First-principles (PBE-GGA) data for an optimized crystal structure of ZnReAu2, as listed in the Alexandria database.

Summary:
Energy relative to the elements (eV/f.u.): 0.94
Theoretical density (g cm⁻³): 16.5

Cell and atoms, written as CIF:
```
data_ZnReAu2
_chemical_formula_sum 'Zn1 Re1 Au2'
_cell_length_a 2.759
_cell_length_b 2.759
_cell_length_c 8.535
_cell_angle_alpha 90.00
_cell_angle_beta 90.00
_cell_angle_gamma 90.00
_space_group_name_H-M_alt 'P 4 m m'
_space_group_IT_number 99
loop_
_space_group_symop_operation_xyz
'x,y,z'
'-y,x,z'
'-x,-y,z'
'y,-x,z'
'-x,y,z'
'y,x,z'
'x,-y,z'
'-y,-x,z'
loop_
_atom_site_label
_atom_site_fract_x
_atom_site_fract_y
_atom_site_fract_z
Zn1 0.000 0.000 0.000
Re1 0.500 0.500 0.769
Au1 0.000 0.000 0.521
Au2 0.500 0.500 0.240
```

***

First-principles (PBE-GGA) data for an optimized crystal structure of ZnReAu2, as listed in the Alexandria database.

Summary:
Energy relative to the elements (eV/f.u.): 2.08
Theoretical density (g cm⁻³): 16.2

Cell and atoms, written as CIF:
```
data_ZnReAu2
_chemical_formula_sum 'Zn2 Re2 Au4'
_cell_length_a 4.135
_cell_length_b 4.135
_cell_length_c 7.732
_cell_angle_alpha 90.00
_cell_angle_beta 90.00
_cell_angle_gamma 90.00
_space_group_name_H-M_alt 'I -4 m 2'
_space_group_IT_number 119
_space_group_name_Hall 'I -4 -2'
loop_
_atom_site_label
_atom_site_fract_x
_atom_site_fract_y
_atom_site_fract_z
Zn1 0.000 0.000 0.000
Re1 0.000 0.500 0.250
Au1 0.000 0.000 0.500
Au2 0.000 0.500 0.750
```